No. 1
Density functional theory data (PBE-GGA) for crystalline Ti8Sb2Au at its relaxed geometry.

Lattice parameters (Å, degrees): 7.599 7.599 6.933 110.54 110.54 31.81
Element x y z (fractional)
Ti  0.041  0.041  0.252
Ti  0.144  0.144  0.703
Ti  0.323  0.323  0.590
Ti  0.415  0.415  0.058
Ti  0.585  0.585  0.942
Ti  0.677  0.677  0.410
Ti  0.856  0.856  0.297
Ti  0.959  0.959  0.748
Sb  0.213  0.213  0.158
Sb  0.787  0.787  0.842
Au  0.500  0.500  0.500

Calculated values
Crystal system   monoclinic
Formation energy (no corrections)   -285.4 meV/atom
Uncorrected energy   -77.8 eV/cell
ρ   7.0 Mg/m³



No. 2
Density functional theory data (PBE-GGA) for crystalline TiSb3Au at its relaxed geometry.

Lattice parameters (Å, degrees): 5.203 5.203 5.203 90.00 90.00 90.00
Element x y z (fractional)
Ti  0.000  0.000  0.000
Sb  0.000  0.000  0.500
Sb  0.000  0.500  0.000
Sb  0.500  0.000  0.000
Au  0.500  0.500  0.500

Calculated values
Crystal system   cubic
Formation energy (no corrections)   292.8 meV/atom
Uncorrected energy   -22.1 eV/cell
ρ   7.2 Mg/m³